La2AlBr | GGA-PBE | relaxed

a b c (Å): 5.2340 3.7050 12.0286
angles (deg): 90.00 90.00 90.00
Space group Amm2 (No. 38)
One atom of each set of equivalent atoms:
La1 0.0000 0.0000 0.0000 [2 per cell]
La2 0.5000 0.0000 0.2515 [2 per cell]
Al1 0.0000 0.0000 0.7422 [2 per cell]
Br1 0.5000 0.0000 0.5077 [2 per cell]

The calculation puts the density of states at the Fermi level at 5.55 states/eV per cell. The value obtained for the energy is -4.55 eV per atom. The relative energy among the computed polymorphs is 96 meV/atom. Its density is 5.477 g/cm3. The uncorrected formation energy is -2.92 eV/f.u.



KLiFe2 | GGA-PBE | relaxed

a b c (Å): 2.8939 4.4618 5.4021
angles (deg): 90.00 90.00 90.00
Space group Pmmm (No. 47)
One atom of each set of equivalent atoms:
K1 0.0000 0.0000 0.0000 [1 per cell]
Li1 0.5000 0.5000 0.0000 [1 per cell]
Fe1 0.0000 0.5000 0.5000 [1 per cell]
Fe2 0.5000 0.0000 0.5000 [1 per cell]

The calculation puts the density of states at the Fermi level at 4.46 states/eV per cell. The value obtained for the energy is -4.02 eV per atom. The calculation puts the formation enthalpy at 0 K at 0.961 eV per atom. The relative energy among the computed polymorphs is 418 meV/atom. Its density is 3.755 g/cm3.



CrReHg2 | GGA-PBE | relaxed

a b c (Å): 5.8792 8.3355 2.8963
angles (deg): 90.00 90.00 90.00
Space group Cmmm (No. 65)
One atom of each set of equivalent atoms:
Cr1 0.0000 0.0000 0.0000 [2 per cell]
Re1 0.0000 0.5000 0.0000 [2 per cell]
Hg1 0.2500 0.2500 0.5000 [4 per cell]

The calculation puts the density of states at the Fermi level at 8.30 states/eV per cell. The value obtained for the energy is -4.84 eV per atom. The calculation puts the formation enthalpy at 0 K at 0.832 eV per atom. The relative energy among the computed polymorphs is 404 meV/atom. Its density is 14.961 g/cm3.



Sr2In3GePd4 | GGA-PBE | relaxed

a b c (Å): 4.7169 4.7169 10.4569
angles (deg): 90.00 90.00 90.00
Space group P-4m2 (No. 115)
One atom of each set of equivalent atoms:
Sr1 0.0000 0.5000 0.2472 [2 per cell]
In1 0.0000 0.5000 0.8740 [2 per cell]
In2 0.5000 0.5000 0.5000 [1 per cell]
Ge1 0.0000 0.0000 0.5000 [1 per cell]
Pd1 0.0000 0.0000 0.0000 [1 per cell]
Pd2 0.0000 0.5000 0.6178 [2 per cell]
Pd3 0.5000 0.5000 0.0000 [1 per cell]

The calculation puts the density of states at the Fermi level at 2.85 states/eV per cell. The value obtained for the energy is -4.30 eV per atom. The calculation puts the formation enthalpy at 0 K at -0.599 eV per atom. Its density is 7.266 g/cm3.